No. 1
The following is a DFT calculation (GGA-PBE) of a relaxed structure of TiNiSb2.

Cell: 7.199 7.199 6.257 Å, 90.00 90.00 90.00°
Space group I-42d (No. 122)
One atom of each set of equivalent atoms:
Ti 0.000 0.000 0.000 [4 per cell]
Ni 0.000 0.000 0.500 [4 per cell]
Sb 0.210 0.750 0.625 [8 per cell]

As for the uncorrected formation energy: 0.025 eV/atom. As for the total magnetization: 0.000 Bohr magnetons per cell.

***

No. 2
The following is a DFT calculation (GGA-PBE) of a relaxed structure of TiNi15Sb4.

Cell: 3.718 3.718 18.432 Å, 90.00 90.00 90.00°
Space group P4/mmm (No. 123)
One atom of each set of equivalent atoms:
Ti 0.000 0.000 0.000 [1 per cell]
Ni 0.000 0.500 0.094 [4 per cell]
Ni 0.000 0.500 0.297 [4 per cell]
Ni 0.000 0.500 0.500 [2 per cell]
Ni 0.500 0.500 0.000 [1 per cell]
Ni 0.500 0.500 0.197 [2 per cell]
Ni 0.500 0.500 0.398 [2 per cell]
Sb 0.000 0.000 0.196 [2 per cell]
Sb 0.000 0.000 0.399 [2 per cell]

As for the uncorrected formation energy: -0.207 eV/atom. As for the total magnetization: 0.000 Bohr magnetons per cell.

***

No. 3
The following is a DFT calculation (GGA-PBE) of a relaxed structure of Ti3Ni3Sb4.

Cell: 8.920 8.920 8.920 Å, 90.00 90.00 90.00°
Space group I-43d (No. 220)
One atom of each set of equivalent atoms:
Ti 0.000 0.250 0.875 [12 per cell]
Ni 0.000 0.250 0.375 [12 per cell]
Sb 0.084 0.416 0.584 [16 per cell]

As for the uncorrected formation energy: -0.401 eV/atom. As for the total magnetization: 0.000 Bohr magnetons per cell.

***

No. 4
The following is a DFT calculation (GGA-PBE) of a relaxed structure of UTi2Ni2Sb2.

Cell: 4.2994 4.2994 24.7649 Å, 90.00 90.00 120.00°
Space group R-3m (No. 166, hexagonal axes)
One atom of each set of equivalent atoms:
U 0.0000 0.0000 0.0000 [3 per cell]
Ti 0.0000 0.0000 0.1407 [6 per cell]
Ni 0.0000 0.0000 0.4479 [6 per cell]
Sb 0.0000 0.0000 0.2570 [6 per cell]

As for the uncorrected formation energy: -0.336 eV/atom. As for the total magnetization: 15.964 Bohr magnetons per cell.

***

No. 5
The following is a DFT calculation (GGA-PBE) of a relaxed structure of TiVNi2Sb.

Cell: 4.315 4.315 5.052 Å, 90.00 90.00 90.00°
Space group P4/mmm (No. 123)
One atom of each set of equivalent atoms:
Ti 0.000 0.000 0.000 [1 per cell]
V 0.500 0.500 0.500 [1 per cell]
Ni 0.000 0.500 0.000 [2 per cell]
Sb 0.000 0.000 0.500 [1 per cell]

As for the uncorrected formation energy: 1.013 eV/atom. As for the total magnetization: 0.215 Bohr magnetons per cell.

***

No. 6
The following is a DFT calculation (GGA-PBE) of a relaxed structure of Ti2ZnNi7Sb2.

Cell: 3.448 3.448 29.233 Å, 90.00 90.00 90.00°
Space group I4/mmm (No. 139)
One atom of each set of equivalent atoms:
Ti 0.000 0.000 0.125 [4 per cell]
Zn 0.000 0.000 0.500 [2 per cell]
Ni 0.000 0.000 0.000 [2 per cell]
Ni 0.000 0.000 0.226 [4 per cell]
Ni 0.000 0.500 0.065 [8 per cell]
Sb 0.000 0.000 0.313 [4 per cell]

As for the uncorrected formation energy: -0.089 eV/atom. As for the total magnetization: 0.000 Bohr magnetons per cell.

***

No. 7
The following is a DFT calculation (GGA-PBE) of a relaxed structure of ZrTiNiSb2.

Cell: 5.164 5.164 4.352 Å, 90.00 90.00 90.00°
Space group P4/mmm (No. 123)
One atom of each set of equivalent atoms:
Zr 0.000 0.000 0.000 [1 per cell]
Ti 0.500 0.500 0.500 [1 per cell]
Ni 0.500 0.500 0.000 [1 per cell]
Sb 0.000 0.500 0.500 [2 per cell]

As for the uncorrected formation energy: 0.396 eV/atom. As for the total magnetization: 0.000 Bohr magnetons per cell.

***

No. 8
The following is a DFT calculation (GGA-PBE) of a relaxed structure of TlNiSb2.

Cell: 7.221 7.221 7.221 Å, 90.00 90.00 90.00°
Space group F-43m (No. 216)
One atom of each set of equivalent atoms:
Tl 0.000 0.000 0.000 [4 per cell]
Ni 0.250 0.250 0.250 [4 per cell]
Sb 0.000 0.000 0.500 [4 per cell]
Sb 0.250 0.250 0.750 [4 per cell]

The value obtained for the offset from the most stable computed form is 0.580 eV per atom. As for the uncorrected formation energy: 0.460 eV/atom. As for the total magnetization: 0.000 Bohr magnetons per cell.